Density functional theory data (PBE) for an optimized crystal structure of CaCr3.

Computed properties:
The calculation puts the volume at 173.7 Å³/cell. The calculation puts the formation energy at 1.02 eV/atom. The uncorrected energy is -0.49210 Ry per atom.

Unit cell a=9.0131 b=9.0131 c=2.4687 alpha=90.00 beta=90.00 gamma=120.00
Space group R-3m (No. 166, hexagonal axes)
Unique sites:
Ca1 0.0000 0.0000 0.0000 (multiplicity 3)
Cr1 0.0000 0.5000 0.0000 (multiplicity 9)